VASP calculation (PBE) on an optimized crystal structure of AcGdAu.

Lattice parameters (Å, degrees): 4.441 5.001 5.001 120.00 90.00 90.00
Site moments in Bohr magnetons follow the coordinates.
Fractional positions:
Ac: 0.002 0.000 0.000  0.06
Gd: 0.502 0.667 0.333  7.17
Au: 0.496 0.333 0.667  0.01

## Properties
Symmetry = P3m1
Distance to the lowest polymorph of the same formula = 107 meV per atom
E_form = -0.397 eV per atom
Spin magnetization = 7.6 μB per cell